No. 1
An optimized crystal structure of Lu2Ga2PdPt3. Source: OQMD via LeMat-Bulk, functional PBE.

Computed properties:
**Total energy**: -5.860 eV/atom

Unit cell a=4.363 b=4.363 c=8.932 alpha=90.00 beta=90.00 gamma=120.00
Positions (direct):
Ga1 0.667 0.333 0.004
Pt1 0.000 0.000 0.589
Pt2 0.333 0.667 0.412
Ga2 0.667 0.333 0.501
Pt3 0.333 0.667 0.083
Lu1 0.333 0.667 0.747
Pd1 0.000 0.000 0.914
Lu2 0.000 0.000 0.251



No. 2
An optimized crystal structure of Rb2CuSbCl6. Source: OQMD via LeMat-Bulk, functional PBE.

Computed properties:
**Energy above the most stable polymorph in this dataset**: 2 kJ/mol of formula units
**Total energy**: -3.309 eV/atom

Unit cell a=7.294 b=7.294 c=7.294 alpha=120.01 beta=120.01 gamma=89.98
Positions (direct):
Cl1 0.758 0.758 0.000
Sb1 0.500 0.500 0.000
Rb1 0.750 0.250 0.500
Cu1 0.000 0.000 0.000
Cl2 0.242 0.758 0.000
Cl3 0.242 0.242 0.483
Cl4 0.758 0.758 0.517
Cl5 0.758 0.242 0.000
Cl6 0.242 0.242 0.000
Rb2 0.250 0.750 0.500



No. 3
An optimized crystal structure of Nd2MgPbO6. Source: OQMD via LeMat-Bulk, functional PBE.

Computed properties:
**Total energy**: -6.938 eV/atom

Unit cell a=5.578 b=5.862 c=9.760 alpha=90.00 beta=124.41 gamma=90.00
Positions (direct):
Nd1 0.731 0.438 0.750
O1 0.741 0.809 0.440
Mg1 0.500 0.000 0.500
Nd2 0.269 0.938 0.750
O2 0.259 0.309 0.060
O3 0.625 0.201 0.938
Mg2 0.500 0.500 0.000
O4 0.375 0.701 0.562
O5 0.741 0.691 0.940
Pb1 0.000 0.500 0.500
Pb2 0.000 0.000 0.000
Nd3 0.269 0.562 0.250
O6 0.140 0.954 0.257
O7 0.140 0.546 0.757
Nd4 0.731 0.062 0.250
O8 0.259 0.191 0.560
O9 0.860 0.454 0.243
O10 0.625 0.299 0.438
O11 0.375 0.799 0.062
O12 0.860 0.046 0.743



No. 4
An optimized crystal structure of MgCoGeW. Source: OQMD via LeMat-Bulk, functional PBE.

Computed properties:
**Energy above the most stable polymorph in this dataset**: 32 kJ/mol of formula units
**Total energy**: -6.007 eV/atom

Unit cell a=4.371 b=4.371 c=4.371 alpha=60.00 beta=60.00 gamma=60.00
Each line ends with the local moment (μB).
Positions (direct):
Mg1 0.250 0.250 0.250  0.06
Ge1 0.000 0.000 0.000  0.01
W1 0.500 0.500 0.500  1.20
Co1 0.750 0.750 0.750  1.39



No. 5
An optimized crystal structure of LaNdAg. Source: OQMD via LeMat-Bulk, functional PBE.

Computed properties:
**Calculated formation energy**: 0.3564 eV per atom
**Total energy**: -3.814 eV/atom

Unit cell a=5.034 b=5.034 c=5.034 alpha=60.00 beta=60.00 gamma=60.00
Positions (direct):
La1 0.750 0.750 0.750
Nd1 0.000 0.000 0.000
Ag1 0.250 0.250 0.250



No. 6
An optimized crystal structure of YHgPd. Source: OQMD via LeMat-Bulk, functional PBE.

Computed properties:
**Calculated formation energy**: -0.5900 eV per atom
**Total energy**: -4.569 eV/atom

Unit cell a=4.710 b=4.710 c=4.710 alpha=60.00 beta=60.00 gamma=60.00
Positions (direct):
Hg1 0.250 0.250 0.250
Y1 0.750 0.750 0.750
Pd1 0.000 0.000 0.000



No. 7
An optimized crystal structure of CuSnF6. Source: OQMD via LeMat-Bulk, functional PBE.

Computed properties:
**Energy above the most stable polymorph in this dataset**: 4 kJ/mol of formula units
**Total energy**: -4.370 eV/atom

Unit cell a=5.355 b=5.355 c=5.355 alpha=54.04 beta=54.04 gamma=54.04
Positions (direct):
F1 0.921 0.579 0.250
F2 0.579 0.250 0.921
Sn1 0.000 0.000 0.000
Cu1 0.500 0.500 0.500
F3 0.079 0.421 0.750
F4 0.250 0.921 0.579
F5 0.750 0.079 0.421
F6 0.421 0.750 0.079



No. 8
An optimized crystal structure of ThMg. Source: OQMD via LeMat-Bulk, functional PBE.

Computed properties:
**Total energy**: -4.336 eV/atom

Unit cell a=5.994 b=9.109 c=5.564 alpha=90.00 beta=90.00 gamma=70.79
Positions (direct):
Th1 0.804 0.402 0.000
Mg1 0.396 0.190 0.000
Th2 0.265 0.803 0.500
Mg2 0.868 0.600 0.500
Mg3 0.986 0.010 0.000
Mg4 0.079 0.195 0.500
Th3 0.191 0.600 0.000
Mg5 0.673 0.005 0.500
Th4 0.467 0.397 0.500
Th5 0.606 0.798 0.000



No. 9
An optimized crystal structure of KTcAg. Source: OQMD via LeMat-Bulk, functional PBE.

Computed properties:
**Energy above the most stable polymorph in this dataset**: 0 kJ/mol of formula units
**Total energy**: -3.251 eV/atom

Unit cell a=4.995 b=4.995 c=4.995 alpha=60.00 beta=60.00 gamma=60.00
Positions (direct):
Ag1 0.000 0.000 0.000
Tc1 0.750 0.750 0.750
K1 0.250 0.250 0.250



No. 10
An optimized crystal structure of BaFeAgSe3. Source: OQMD via LeMat-Bulk, functional PBE.

Computed properties:
**Energy above the most stable polymorph in this dataset**: 39 kJ/mol of formula units
**Total energy**: -4.520 eV/atom

Unit cell a=7.379 b=7.379 c=10.258 alpha=90.00 beta=90.00 gamma=147.80
Each line ends with the local moment (μB).
Positions (direct):
Ag1 0.967 0.033 0.250  0.08
Se1 0.125 0.875 0.967  0.19
Ba1 0.261 0.739 0.250  0.04
Fe1 0.500 0.500 0.500  3.57
Se2 0.421 0.579 0.750  0.20
Se3 0.875 0.125 0.467  0.19
Ba2 0.739 0.261 0.750  0.04
Fe2 0.500 0.500 0.000  3.56
Se4 0.875 0.125 0.033  0.19
Se5 0.579 0.421 0.250  0.20
Se6 0.125 0.875 0.533  0.19
Ag2 0.033 0.967 0.750  0.08



No. 11
An optimized crystal structure of Ho2ErMg3Ir3. Source: OQMD via LeMat-Bulk, functional PBE.

Computed properties:
**Total energy**: -5.689 eV/atom

Unit cell a=4.044 b=7.219 c=7.219 alpha=119.97 beta=90.00 gamma=90.00
Positions (direct):
Ir1 0.500 0.334 0.666
Mg1 0.500 0.754 0.000
Ir2 0.500 0.666 0.334
Ir3 0.000 0.999 0.999
Mg2 0.500 0.000 0.754
Ho1 0.000 0.000 0.409
Er1 0.000 0.592 0.592
Ho2 0.000 0.409 0.000
Mg3 0.500 0.246 0.246



No. 12
An optimized crystal structure of Ba3Gd2P4S16. Source: OQMD via LeMat-Bulk, functional PBE.

Computed properties:
**Total energy**: -5.289 eV/atom

Unit cell a=19.328 b=10.376 c=12.753 alpha=90.00 beta=90.00 gamma=90.00
Positions (direct):
S1 0.150 0.117 0.105
S2 0.968 0.882 0.414
S3 0.808 0.793 0.387
S4 0.832 0.506 0.015
S5 0.848 0.435 0.269
S6 0.431 0.181 0.332
S7 0.517 0.888 0.099
Ba1 0.773 0.789 0.109
Gd1 0.926 0.371 0.887
P1 0.603 0.004 0.640
S8 0.150 0.883 0.605
S9 0.308 0.707 0.613
Ba2 0.500 0.382 0.750
S10 0.147 0.931 0.887
S11 0.848 0.565 0.769
P2 0.897 0.504 0.640
Ba3 0.727 0.711 0.609
S12 0.192 0.793 0.113
S13 0.348 0.935 0.231
P3 0.869 0.939 0.452
S14 0.853 0.931 0.613
S15 0.032 0.118 0.586
S16 0.431 0.819 0.832
S17 0.152 0.435 0.231
S18 0.668 0.994 0.515
S19 0.569 0.819 0.668
S20 0.808 0.207 0.887
S21 0.468 0.382 0.086
S22 0.850 0.117 0.395
S23 0.647 0.569 0.113
S24 0.069 0.319 0.832
S25 0.931 0.319 0.668
S26 0.152 0.565 0.731
S27 0.650 0.383 0.895
Ba4 0.000 0.882 0.750
Ba5 0.000 0.118 0.250
S28 0.647 0.431 0.613
S29 0.692 0.293 0.387
Ba6 0.727 0.289 0.109
Gd2 0.426 0.129 0.113
S30 0.652 0.065 0.769
P4 0.869 0.061 0.952
Gd3 0.574 0.871 0.887
S31 0.168 0.506 0.485
Ba7 0.500 0.618 0.250
Ba8 0.273 0.289 0.391
S32 0.353 0.569 0.387
S33 0.017 0.612 0.901
Ba9 0.227 0.211 0.891
P5 0.631 0.561 0.952
P6 0.103 0.496 0.360
S34 0.350 0.383 0.605
S35 0.168 0.494 0.985
S36 0.668 0.006 0.015
P7 0.603 0.996 0.140
Ba10 0.227 0.789 0.391
P8 0.103 0.504 0.860
S37 0.147 0.069 0.387
S38 0.353 0.431 0.887
S39 0.832 0.494 0.515
S40 0.350 0.617 0.105
Gd4 0.426 0.871 0.613
Gd5 0.074 0.629 0.113
P9 0.369 0.439 0.048
S41 0.983 0.612 0.599
P10 0.131 0.939 0.048
Gd6 0.926 0.629 0.387
S42 0.650 0.617 0.395
Gd7 0.574 0.129 0.387
P11 0.631 0.439 0.452
S43 0.483 0.112 0.901
S44 0.332 0.994 0.985
Gd8 0.074 0.371 0.613
S45 0.532 0.618 0.914
S46 0.931 0.681 0.168
P12 0.397 0.004 0.860
P13 0.369 0.561 0.548
S47 0.569 0.181 0.168
P14 0.131 0.061 0.548
Ba11 0.773 0.211 0.609
Ba12 0.273 0.711 0.891
S48 0.692 0.707 0.887
S49 0.517 0.112 0.599
S50 0.069 0.681 0.332
P15 0.897 0.496 0.140
S51 0.983 0.388 0.099
S52 0.850 0.883 0.895
S53 0.332 0.006 0.485
S54 0.532 0.382 0.414
S55 0.192 0.207 0.613
S56 0.348 0.065 0.731
S57 0.652 0.935 0.269
S58 0.853 0.069 0.113
S59 0.308 0.293 0.113
S60 0.017 0.388 0.401
P16 0.397 0.996 0.360
S61 0.968 0.118 0.914
S62 0.483 0.888 0.401
S63 0.032 0.882 0.086
S64 0.468 0.618 0.586